# GGA+U LiFePO4, relaxed
data_LiFePO4
_chemical_formula_sum 'Li2 Fe2 P2 O8'
_cell_length_a 4.367
_cell_length_b 4.367
_cell_length_c 9.259
_cell_angle_alpha 90.00
_cell_angle_beta 90.00
_cell_angle_gamma 90.00
_symmetry_space_group_name_H-M 'I -4'
_symmetry_Int_Tables_number 82
_symmetry_space_group_name_Hall 'I -4'
loop_
_atom_site_label
_atom_site_type_symbol
_atom_site_fract_x
_atom_site_fract_y
_atom_site_fract_z
Li1 Li 0.000 0.000 0.000
Fe1 Fe 0.000 0.500 0.750
P1 P 0.000 0.000 0.500
O1 O 0.186 0.775 0.597
# - crystal system = tetragonal
# - total magnetization (μB per formula unit) = 4.00
# - energy (eV/atom) = -6.77
# - energy above the lowest structure with this stoichiometry (kJ/mol of formula units) = 42.0
# - N(E_F) (states/eV per atom) = 0.000